This record from Alexandria via LeMat-Bulk describes an optimized crystal structure of KNbI2N. The functional is PBE.

## Properties
excess energy over the best structure of this formula in the dataset: 1920 meV/atom
space group: No. 123

a b c (Å): 6.251 6.251 4.820
angles (deg): 90.00 90.00 90.00
Last column: magnetic moment on the atom in μB.
Fractional coordinates of all 5 atoms:
I 0.500 0.000 0.000  0.10
N 0.000 0.000 0.500  1.63
K 0.000 0.000 0.000  0.04
I 0.000 0.500 0.000  0.10
Nb 0.500 0.500 0.500  -2.95

---

This record from Alexandria via LeMat-Bulk describes an optimized crystal structure of KNbI2N. The functional is PBE.

## Properties
excess energy over the best structure of this formula in the dataset: 0 meV/atom
space group: No. 123

a b c (Å): 5.979 5.979 4.006
angles (deg): 90.00 90.00 90.00
Last column: magnetic moment on the atom in μB.
Fractional coordinates of all 5 atoms:
I 0.500 0.000 0.000  0.00
K 0.500 0.500 0.500  0.00
N 0.000 0.000 0.500  -0.09
I 0.000 0.500 0.000  0.00
Nb 0.000 0.000 0.000  0.89

---

This record from Alexandria via LeMat-Bulk describes an optimized crystal structure of KINO2. The functional is PBE.

## Properties
total DFT energy (no corrections): -16.35 eV/cell
space group: No. 123

a b c (Å): 4.446 4.446 4.274
angles (deg): 90.00 90.00 90.00
Last column: magnetic moment on the atom in μB.
Fractional coordinates of all 5 atoms:
O 0.500 0.000 0.000  0.45
O 0.000 0.500 0.000  0.45
K 0.500 0.500 0.500  0.00
I 0.000 0.000 0.500  0.04
N 0.000 0.000 0.000  -0.18

---

This record from Alexandria via LeMat-Bulk describes an optimized crystal structure of KINO2. The functional is PBE.

## Properties
total DFT energy (no corrections): -20.20 eV/cell
space group: No. 123

a b c (Å): 4.231 4.231 4.060
angles (deg): 90.00 90.00 90.00
Fractional coordinates of all 5 atoms:
O 0.500 0.000 0.000
O 0.000 0.500 0.000
I 0.000 0.000 0.000
K 0.500 0.500 0.500
N 0.000 0.000 0.500